First-principles (PBE-GGA) data for Ta2MoRu after structural relaxation, as listed in Alexandria via LeMat-Bulk.

Values from the calculation:
Crystal system: monoclinic
ΔH_f (0 K) in eV/f.u.: -0.6
Volume in Å³ per cell: 132

a = 5.650 Å, b = 8.779 Å, c = 2.842 Å
α = 90.00°, β = 110.96°, γ = 90.00°
Positions (direct):
Ta (0.250, 0.250, 0.000)
Ta (0.250, 0.750, 0.000)
Ta (0.750, 0.250, 0.000)
Ta (0.750, 0.750, 0.000)
Mo (0.000, 0.000, 0.500)
Mo (0.500, 0.500, 0.500)
Ru (0.000, 0.500, 0.500)
Ru (0.500, 0.000, 0.500)